## CdGaF5 (GGA-PBE)

Data for a relaxed CdGaF5 crystal.

a = 8.9451 Å, b = 6.4890 Å, c = 7.6655 Å
α = 90.00°, β = 115.13°, γ = 90.00°
Last column: nearest neighbours and their distance in Å.
Space group C2/c (No. 15)
Asymmetric unit:
Cd1 0.0000 0.0433 0.2500 (multiplicity 4)  6 F 2.19-2.42
Ga1 0.0000 0.5000 0.0000 (multiplicity 4)  6 F 1.87-1.97
F1 0.0000 0.4276 0.2500 (multiplicity 4)  2 Ga 1.97
F2 0.0173 0.2069 0.9751 (multiplicity 8)  1 Ga 1.92
F3 0.2294 0.4733 0.6190 (multiplicity 8)  1 Ga 1.87

## Properties
The calculated volume comes out at 14.4 Å³/atom. The total energy comes out at -121.43 eV/cell. The formation energy (no corrections) is -2.437 eV/atom. For the energy above the most stable polymorph in this dataset, the calculation gives 0.0 meV per atom.